Entry 1:
Density functional theory data (PBE) for crystalline U2FeCo4Ge3 at its relaxed geometry.

The value obtained for the total magnetization is 0.07 μB/atom. Its formation energy is -0.28 eV/atom. For the total energy, the calculation gives -76.2 eV per cell. The volume is 151.7 Å³/cell.

It has space group P-4m2 (No. 115), with a = 3.865 Å, b = 3.865 Å, c = 10.150 Å, α = 90.00°, β = 90.00° and γ = 90.00°. Symmetry generates all atoms from U at (0.000, 0.500, 0.242), Fe at (0.500, 0.500, 0.000), Co at (0.000, 0.000, 0.500), Co at (0.000, 0.500, 0.860), Co at (0.500, 0.500, 0.500), Ge at (0.000, 0.000, 0.000) and Ge at (0.000, 0.500, 0.629).

Entry 2:
Density functional theory data (PBE) for crystalline V2FeCo7Ge2 at its relaxed geometry.

The value obtained for the total magnetization is 0.41 μB/atom. Its formation energy is 0.18 eV/atom. For the total energy, the calculation gives -167.0 eV per cell. The volume is 301.5 Å³/cell.

It has space group C2/m (No. 12), with a = 4.681 Å, b = 4.681 Å, c = 13.950 Å, α = 90.00°, β = 99.49° and γ = 90.00°. Symmetry generates all atoms from V at (0.131, 0.000, 0.266), Fe at (0.000, 0.500, 0.000), Co at (0.000, 0.000, 0.000), Co at (0.182, 0.250, 0.862), Co at (0.227, 0.000, 0.447) and Ge at (0.189, 0.500, 0.375).

Entry 3:
Density functional theory data (PBE) for crystalline FeCoGeW at its relaxed geometry.

The value obtained for the total magnetization is 0.64 μB/atom. Its formation energy is 0.10 eV/atom. For the total energy, the calculation gives -130.9 eV per cell. The volume is 205.7 Å³/cell.

It has space group F-43m (No. 216), with a = 5.903 Å, b = 5.903 Å, c = 5.903 Å, α = 90.00°, β = 90.00° and γ = 90.00°. Symmetry generates all atoms from Fe at (0.000, 0.000, 0.000), Co at (0.000, 0.000, 0.500), Ge at (0.250, 0.250, 0.750) and W at (0.250, 0.250, 0.250).

Entry 4:
Density functional theory data (PBE) for crystalline YFeCoGe2 at its relaxed geometry.

The value obtained for the total magnetization is 0.00 μB/atom. Its formation energy is -0.55 eV/atom. For the total energy, the calculation gives -68.0 eV per cell. The volume is 159.9 Å³/cell.

It has space group I-4m2 (No. 119), with a = 4.006 Å, b = 4.006 Å, c = 9.962 Å, α = 90.00°, β = 90.00° and γ = 90.00°. Symmetry generates all atoms from Y at (0.000, 0.000, 0.000), Fe at (0.000, 0.500, 0.250), Co at (0.000, 0.500, 0.750) and Ge at (0.000, 0.000, 0.369).

Entry 5:
Density functional theory data (PBE) for crystalline YFeCoGe3 at its relaxed geometry.

The value obtained for the total magnetization is 0.21 μB/atom. Its formation energy is -0.20 eV/atom. For the total energy, the calculation gives -148.3 eV per cell. The volume is 438.0 Å³/cell.

It has space group Cmcm (No. 63), with a = 7.273 Å, b = 10.712 Å, c = 5.622 Å, α = 90.00°, β = 90.00° and γ = 90.00°. Symmetry generates all atoms from Y at (0.000, 0.247, 0.250), Fe at (0.000, 0.452, 0.750), Co at (0.000, 0.040, 0.750), Ge at (0.000, 0.246, 0.750) and Ge at (0.250, 0.000, 0.000).

Entry 6:
Density functional theory data (PBE) for crystalline ZrFeCoGe2 at its relaxed geometry.

The value obtained for the total magnetization is 0.00 μB/atom. Its formation energy is -0.42 eV/atom. For the total energy, the calculation gives -70.9 eV per cell. The volume is 148.7 Å³/cell.

It has space group I-4m2 (No. 119), with a = 3.886 Å, b = 3.886 Å, c = 9.851 Å, α = 90.00°, β = 90.00° and γ = 90.00°. Symmetry generates all atoms from Zr at (0.000, 0.000, 0.000), Fe at (0.000, 0.500, 0.250), Co at (0.000, 0.500, 0.750) and Ge at (0.000, 0.000, 0.375).

Entry 7:
Density functional theory data (PBE) for crystalline ZrFeCo2Ge at its relaxed geometry.

The value obtained for the total magnetization is 0.34 μB/atom. Its formation energy is 1.77 eV/atom. For the total energy, the calculation gives -27.0 eV per cell. The volume is 100.7 Å³/cell.

It has space group P4/mmm (No. 123), with a = 4.471 Å, b = 4.471 Å, c = 5.039 Å, α = 90.00°, β = 90.00° and γ = 90.00°. Symmetry generates all atoms from Zr at (0.000, 0.000, 0.000), Fe at (0.500, 0.500, 0.500), Co at (0.000, 0.500, 0.000) and Ge at (0.000, 0.000, 0.500).

Entry 8:
Density functional theory data (PBE) for crystalline Fe4CoH4 at its relaxed geometry.

The value obtained for the total magnetization is 1.10 μB/atom. For the total energy, the calculation gives -108.6 eV per cell. The volume is 128.3 Å³/cell.

It has space group I4/m (No. 87), with a = 5.851 Å, b = 5.851 Å, c = 3.748 Å, α = 90.00°, β = 90.00° and γ = 90.00°. Symmetry generates all atoms from Fe at (0.099, 0.294, 0.000), Co at (0.000, 0.000, 0.500) and H at (0.098, 0.296, 0.500).

Entry 9:
Density functional theory data (PBE) for crystalline Fe5Co3H12 at its relaxed geometry.

The value obtained for the total magnetization is 0.68 μB/atom. For the total energy, the calculation gives -805.7 eV per cell. The volume is 1005.7 Å³/cell.

It has space group Ia-3d (No. 230), with a = 10.019 Å, b = 10.019 Å, c = 10.019 Å, α = 90.00°, β = 90.00° and γ = 90.00°. Symmetry generates all atoms from Fe at (0.000, 0.000, 0.000), Fe at (0.000, 0.250, 0.375), Co at (0.000, 0.250, 0.125) and H at (0.006, 0.071, 0.653).

Entry 10:
Density functional theory data (PBE) for crystalline Fe3CoH7 at its relaxed geometry.

The value obtained for the total magnetization is 0.64 μB/atom. For the total energy, the calculation gives -110.2 eV per cell. The volume is 129.6 Å³/cell.

It has space group Cm (No. 8), with a = 5.726 Å, b = 5.673 Å, c = 4.872 Å, α = 90.00°, β = 124.99° and γ = 90.00°. Symmetry generates all atoms from Fe at (0.000, 0.000, 0.000), Fe at (0.002, 0.253, 0.511), Co at (0.015, 0.500, 0.019), H at (0.129, 0.252, 0.258), H at (0.129, 0.500, 0.765), H at (0.369, 0.000, 0.234), H at (0.374, 0.239, 0.763) and H at (0.383, 0.500, 0.271).

Entry 11:
Density functional theory data (PBE) for crystalline FeCoH2 at its relaxed geometry.

The value obtained for the total magnetization is 0.82 μB/atom. For the total energy, the calculation gives -88.0 eV per cell. The volume is 113.3 Å³/cell. The value obtained for the offset from the most stable computed form is 0.082 eV per atom.

It has space group Pna2_1 (No. 33), with a = 4.674 Å, b = 5.529 Å, c = 4.386 Å, α = 90.00°, β = 90.00° and γ = 90.00°. Symmetry generates all atoms from Fe at (0.079, 0.124, 0.000), Co at (0.080, 0.625, 0.001), H at (0.078, 0.619, 0.372) and H at (0.088, 0.132, 0.384).

Entry 12:
Density functional theory data (PBE) for crystalline FeCo2H2 at its relaxed geometry.

The value obtained for the total magnetization is 1.00 μB/atom. For the total energy, the calculation gives -58.0 eV per cell. The volume is 77.8 Å³/cell. The value obtained for the offset from the most stable computed form is 0.066 eV per atom.

It has space group I4/mmm (No. 139), with a = 2.814 Å, b = 2.814 Å, c = 9.832 Å, α = 90.00°, β = 90.00° and γ = 90.00°. Symmetry generates all atoms from Fe at (0.000, 0.000, 0.000), Co at (0.000, 0.000, 0.353) and H at (0.000, 0.500, 0.250).